Crystalline Ca2LaPrTl4 at its relaxed geometry, computed with PBE.

POSCAR file:
```
Ca2LaPrTl4
1.0
-2.186 4.328 2.712
-5.335 -0.098 1.545
-0.146 -2.358 9.335
La Tl Ca Pr
1 4 2 1
Direct
0.000 0.000 0.000
0.125 0.125 0.624
0.376 0.376 0.872
0.624 0.624 0.128
0.875 0.875 0.376
0.750 0.750 0.750
0.250 0.250 0.250
0.500 0.500 0.500
```

Calculated values
**M_tot**: 0.00 μB per cell
**N(E_F)**: 7.742 states/eV per cell
**Energy of formation**: -421 meV/atom
**Final energy**: -3.3175 eV per atom



Crystalline CaLaPrTm at its relaxed geometry, computed with PBE.

POSCAR file:
```
CaLaPrTm
1.0
-1.050 -0.243 3.533
3.086 -1.871 0.788
4.967 9.079 2.100
Tm Pr Ca La
1 1 1 1
Direct
0.000 0.000 0.568
0.500 0.500 0.338
0.000 0.000 0.074
0.500 0.500 0.803
```

Calculated values
**M_tot**: 0.00 μB per cell
**N(E_F)**: 6.736 states/eV per cell
**Energy of formation**: 48 meV/atom
**Final energy**: -3.9974 eV per atom



Crystalline CaLa2Pr2Tm2 at its relaxed geometry, computed with PBE.

POSCAR file:
```
CaLa2Pr2Tm2
1.0
-4.331 1.581 2.435
0.639 -6.315 -0.344
4.319 1.177 6.917
Tm La Ca Pr
2 2 1 2
Direct
0.575 0.150 0.706
0.425 0.850 0.294
0.143 0.287 0.431
0.857 0.713 0.569
0.000 0.000 0.000
0.284 0.567 0.854
0.716 0.433 0.146
```

Calculated values
**M_tot**: 0.00 μB per cell
**N(E_F)**: 11.288 states/eV per cell
**Energy of formation**: 61 meV/atom
**Final energy**: -4.2762 eV per atom



Crystalline CaLaPr6Tm2 at its relaxed geometry, computed with PBE.

POSCAR file:
```
CaLaPr6Tm2
1.0
-9.462 2.608 1.194
-1.826 -8.918 0.313
2.685 4.071 7.693
Pr Tm La Ca
12 4 2 2
Direct
0.322 0.980 0.447
0.379 0.508 0.294
0.822 0.447 0.980
0.879 0.294 0.508
0.178 0.553 0.020
0.447 0.245 0.885
0.121 0.706 0.492
0.621 0.492 0.706
0.947 0.885 0.245
0.678 0.020 0.553
0.053 0.115 0.755
0.553 0.755 0.115
0.954 0.700 0.804
0.454 0.804 0.700
0.046 0.300 0.196
0.546 0.196 0.300
0.750 0.594 0.406
0.250 0.406 0.594
0.250 0.970 0.030
0.750 0.030 0.970
```

Calculated values
**M_tot**: 0.00 μB per cell
**N(E_F)**: 27.811 states/eV per cell
**Energy of formation**: 117 meV/atom
**Final energy**: -4.3379 eV per atom



Crystalline CaLaPrTm at its relaxed geometry, computed with PBE.

POSCAR file:
```
CaLaPrTm
1.0
5.875 0.000 0.000
2.937 5.088 0.000
2.937 1.696 4.797
Pr Ca Tm La
1 1 1 1
Direct
0.250 0.250 0.250
0.500 0.500 0.500
0.000 0.000 0.000
0.750 0.750 0.750
```

Calculated values
**M_tot**: 0.00 μB per cell
**N(E_F)**: 5.755 states/eV per cell
**Energy of formation**: 99 meV/atom
**Final energy**: -3.9460 eV per atom



Crystalline CaLaPr6Y2 at its relaxed geometry, computed with PBE.

POSCAR file:
```
CaLaPr6Y2
1.0
-6.850 -2.777 -6.568
6.101 2.012 -6.405
0.619 -8.276 3.662
Ca Y Pr La
2 4 12 2
Direct
0.250 0.404 0.596
0.750 0.596 0.404
0.944 0.708 0.798
0.056 0.292 0.202
0.556 0.202 0.292
0.444 0.798 0.708
0.616 0.476 0.706
0.325 0.982 0.439
0.938 0.898 0.236
0.438 0.236 0.898
0.384 0.524 0.294
0.825 0.439 0.982
0.675 0.018 0.561
0.884 0.294 0.524
0.116 0.706 0.476
0.562 0.764 0.102
0.062 0.102 0.764
0.175 0.561 0.018
0.750 0.044 0.956
0.250 0.956 0.044
```

Calculated values
**M_tot**: 0.00 μB per cell
**N(E_F)**: 29.184 states/eV per cell
**Energy of formation**: 126 meV/atom
**Final energy**: -4.7271 eV per atom



Crystalline CaLaPrY at its relaxed geometry, computed with PBE.

POSCAR file:
```
CaLaPrY
1.0
5.916 0.000 0.000
2.958 5.124 0.000
2.958 1.708 4.831
Pr Y Ca La
1 1 1 1
Direct
0.000 0.000 0.000
0.750 0.750 0.750
0.250 0.250 0.250
0.500 0.500 0.500
```

Calculated values
**M_tot**: 0.00 μB per cell
**N(E_F)**: 6.472 states/eV per cell
**Energy of formation**: 102 meV/atom
**Final energy**: -4.4410 eV per atom



Crystalline CaLa2Pr6Y at its relaxed geometry, computed with PBE.

POSCAR file:
```
CaLa2Pr6Y
1.0
9.635 -2.374 -2.464
0.694 8.859 -2.149
0.694 -2.476 8.773
Pr Y La Ca
12 2 4 2
Direct
0.625 0.507 0.720
0.551 0.764 0.121
0.326 0.967 0.415
0.826 0.415 0.967
0.449 0.236 0.879
0.949 0.879 0.236
0.875 0.280 0.493
0.674 0.033 0.585
0.125 0.720 0.507
0.375 0.493 0.280
0.174 0.585 0.033
0.051 0.121 0.764
0.250 0.980 0.020
0.750 0.020 0.980
0.044 0.302 0.207
0.544 0.207 0.302
0.956 0.698 0.793
0.456 0.793 0.698
0.250 0.398 0.602
0.750 0.602 0.398
```

Calculated values
**M_tot**: 0.00 μB per cell
**N(E_F)**: 29.798 states/eV per cell
**Energy of formation**: 113 meV/atom
**Final energy**: -4.5871 eV per atom



Crystalline CaLaPrY at its relaxed geometry, computed with PBE.

POSCAR file:
```
CaLaPrY
1.0
3.695 0.000 0.000
0.000 3.695 0.000
0.000 0.000 10.742
La Pr Y Ca
1 1 1 1
Direct
0.500 0.500 0.807
0.500 0.500 0.335
0.000 0.000 0.568
0.000 0.000 0.074
```

Calculated values
**M_tot**: 0.00 μB per cell
**N(E_F)**: 6.460 states/eV per cell
**Energy of formation**: 44 meV/atom
**Final energy**: -4.4990 eV per atom



Crystalline CaLa2Pr6Y3 at its relaxed geometry, computed with PBE.

POSCAR file:
```
CaLa2Pr6Y3
1.0
6.413 -0.002 0.004
-3.207 5.554 0.004
-1.076 -1.863 11.986
Ca Pr La Y
1 6 2 3
Direct
0.000 0.000 0.000
0.914 0.576 0.743
0.576 0.914 0.743
0.086 0.424 0.257
0.424 0.086 0.257
0.749 0.749 0.258
0.251 0.251 0.742
0.667 0.333 0.000
0.333 0.667 0.000
0.166 0.834 0.500
0.834 0.166 0.500
0.500 0.500 0.500
```

Calculated values
**M_tot**: 0.00 μB per cell
**N(E_F)**: 14.454 states/eV per cell
**Energy of formation**: 24 meV/atom
**Final energy**: -4.9697 eV per atom



Crystalline CaLa4Pt2 at its relaxed geometry, computed with PBE.

POSCAR file:
```
CaLa4Pt2
1.0
-0.555 -7.263 2.585
5.325 -2.998 -4.753
2.628 6.094 7.606
La Pt Ca
8 4 2
Direct
0.844 0.021 0.582
0.835 0.632 0.728
0.466 0.247 0.384
0.374 0.105 0.722
0.386 0.665 0.883
0.346 0.642 0.228
0.812 0.492 0.083
0.861 0.100 0.218
0.619 0.357 0.730
0.622 0.862 0.229
0.716 0.512 0.371
0.110 0.405 0.871
0.118 0.593 0.486
0.143 0.117 0.986
```

Calculated values
**M_tot**: 0.00 μB per cell
**N(E_F)**: 13.715 states/eV per cell
**Energy of formation**: -571 meV/atom
**Final energy**: -5.3990 eV per atom



Crystalline CaLa2Pt2 at its relaxed geometry, computed with PBE.

POSCAR file:
```
CaLa2Pt2
1.0
-2.030 2.301 -4.471
-0.852 -4.909 -2.140
-6.458 -1.404 -1.079
Ca Pt La
1 2 2
Direct
0.000 0.000 0.000
0.250 0.750 0.500
0.750 0.250 0.500
0.668 0.668 0.664
0.332 0.332 0.336
```

Calculated values
**M_tot**: 0.11 μB per cell
**N(E_F)**: 4.609 states/eV per cell
**Energy of formation**: -590 meV/atom
**Final energy**: -5.3775 eV per atom